Record 1
CrTc2Os: PBEsol geometry, SCAN.

As for the space-group type: Pmm2 (25). The formation energy comes out at 99 meV/atom. For the energy relative to the lowest polymorph listed for this composition, the calculation gives 0.008 eV per atom.

abc: 2.679 3.743 5.355
angles: 90.00 90.00 90.00
Positions (direct):
Os 0.500 0.500 0.738
Tc 0.500 0.500 0.258
Tc 0.000 0.000 0.001
Cr 0.000 0.000 0.503



Record 2
CrTc2Os: PBEsol geometry, SCAN.

As for the space-group type: P4/mmm (123). The formation energy comes out at 143 meV/atom. For the energy relative to the lowest polymorph listed for this composition, the calculation gives 0.052 eV per atom.

abc: 2.675 2.675 7.481
angles: 90.00 90.00 90.00
Positions (direct):
Cr 0.500 0.500 0.000
Os 0.500 0.500 0.500
Tc 0.000 0.000 0.761
Tc 0.000 0.000 0.239



Record 3
CrTcOs2: PBEsol geometry, SCAN.

As for the space-group type: I4/mmm (139). The formation energy comes out at 72 meV/atom. For the energy relative to the lowest polymorph listed for this composition, the calculation gives 0.006 eV per atom.

abc: 3.781 3.781 4.607
angles: 114.23 114.23 90.00
Positions (direct):
Os 0.750 0.250 0.500
Os 0.250 0.750 0.500
Tc 0.500 0.500 0.000
Cr 0.000 0.000 0.000



Record 4
CrTeOs3: PBEsol geometry, SCAN.

As for the space-group type: Pm-3m (221). The uncorrected formation energy comes out at 1.817 eV/atom.

abc: 4.457 4.457 4.457
angles: 90.00 90.00 90.00
Positions (direct):
Os 0.000 0.000 0.500
Os 0.500 0.000 0.000
Os 0.000 0.500 0.000
Cr 0.000 0.000 0.000
Te 0.500 0.500 0.500



| no. | V (Å³ per atom) | total moment (μB per formula unit) |
| --- | --- | --- |
| 1 | 13.4 | 0.00 |
| 2 | 13.4 | 0.00 |
| 3 | 13.4 | 0.00 |
| 4 | 17.7 | 0.00 |